Computed, not measured: Pr5Nd4Ho3 after structural relaxation at the PBE level of DFT.

Cell lengths 5.791, 6.020, 14.062 Å; angles 84.65, 78.12, 61.25 degrees
Element x y z (fractional)
Nd 0.938 0.995 0.129
Nd 0.062 0.005 0.871
Nd 0.809 0.002 0.379
Nd 0.191 0.998 0.621
Pr 0.792 0.678 0.739
Pr 0.208 0.322 0.261
Pr 0.500 0.500 0.500
Pr 0.335 0.327 0.002
Pr 0.665 0.673 0.998
Ho 0.540 0.663 0.257
Ho 0.460 0.337 0.743
Ho 0.000 0.500 0.500

## Properties
space group	No. 12
formation energy from the elements	0.21	eV per atom
calculated total energy	-4.520	eV per atom
M_tot	0.0	μB per formula unit



Computed, not measured: LiLa2W after structural relaxation at the PBE level of DFT.

Cell lengths 8.073, 8.073, 6.560 Å; angles 52.02, 52.02, 90.00 degrees
Each line ends with the local moment (μB).
Element x y z (fractional)
Li 0.500 0.500 0.000  0.01
Li 0.250 0.750 0.500  0.00
La 0.102 0.625 0.250  0.04
La 0.375 0.352 0.750  0.05
La 0.875 0.898 0.750  0.04
La 0.648 0.125 0.250  0.04
W 0.750 0.250 0.500  0.69
W 0.000 0.000 0.000  0.70

## Properties
space group	No. 122
formation energy from the elements	0.81	eV per atom
calculated total energy	-5.371	eV per atom
M_tot	0.9	μB per formula unit



Computed, not measured: TaMn2Mo after structural relaxation at the PBE level of DFT.

Cell lengths 4.319, 4.319, 4.319 Å; angles 60.00, 60.00, 60.00 degrees
Each line ends with the local moment (μB).
Element x y z (fractional)
Ta 0.250 0.250 0.250  -0.28
Mn 0.750 0.750 0.750  1.72
Mn 0.000 0.000 0.000  1.64
Mo 0.500 0.500 0.500  -0.38

## Properties
space group	No. 216
formation energy from the elements	0.08	eV per atom
calculated total energy	-10.180	eV per atom
M_tot	2.7	μB per formula unit



Computed, not measured: Na2CoN after structural relaxation at the PBE level of DFT.

Cell lengths 3.447, 7.227, 7.227 Å; angles 86.74, 76.20, 76.20 degrees
Element x y z (fractional)
Na 0.875 0.250 0.250
Na 0.875 0.750 0.250
Na 0.875 0.250 0.750
Na 0.375 0.750 0.750
N 0.000 0.000 0.000
N 0.750 0.500 0.500
Co 0.500 0.000 0.000
Co 0.250 0.500 0.500

## Properties
E_form (uncorrected)	-21	meV/atom
space group	No. 141
calculated total energy	-4.538	eV per atom
M_tot	0.0	μB per formula unit



Computed, not measured: KLaSe2N after structural relaxation at the PBE level of DFT.

Cell lengths 6.065, 6.065, 4.359 Å; angles 90.00, 90.00, 90.00 degrees
Each line ends with the local moment (μB).
Element x y z (fractional)
La 0.000 0.000 0.000  0.01
K 0.500 0.500 0.500  0.00
N 0.000 0.000 0.500  0.37
Se 0.500 0.000 0.000  0.48
Se 0.000 0.500 0.000  0.48

## Properties
E_form (uncorrected)	-399	meV/atom
space group	No. 123
calculated total energy	-4.663	eV per atom
M_tot	2.2	μB per formula unit



Computed, not measured: Li2Nd2ThTl2 after structural relaxation at the PBE level of DFT.

Cell lengths 4.925, 4.925, 9.525 Å; angles 75.02, 75.02, 60.00 degrees
Element x y z (fractional)
Nd 0.128 0.128 0.617
Nd 0.872 0.872 0.383
Li 0.602 0.602 0.194
Li 0.398 0.398 0.806
Th 0.000 0.000 0.000
Tl 0.734 0.734 0.797
Tl 0.266 0.266 0.203

## Properties
space group	No. 166
formation energy from the elements	-0.12	eV per atom
calculated total energy	-3.769	eV per atom
M_tot	0.0	μB per formula unit